Record 1
Compound: HfTaTcMo
Source: the Alexandria database
Functional: GGA-PBE
Structure: optimized geometry

Lattice parameters (Å, degrees): 4.592 4.592 4.592 60.00 60.00 60.00
Fractional positions:
Mo (0.250, 0.250, 0.250)
Hf (0.500, 0.500, 0.500)
Tc (0.750, 0.750, 0.750)
Ta (0.000, 0.000, 0.000)

Record 2
Compound: HfTaV2Mo
Source: the Alexandria database
Functional: GGA-PBE
Structure: optimized geometry

Lattice parameters (Å, degrees): 4.470 4.971 4.470 90.00 90.00 90.00
Fractional positions:
Mo (0.000, 0.000, 0.000)
V (0.000, 0.000, 0.500)
V (0.500, 0.000, 0.000)
Hf (0.000, 0.500, 0.000)
Ta (0.500, 0.500, 0.500)

Record 3
Compound: TbHfMo4
Source: the Alexandria database
Functional: GGA-PBE
Structure: optimized geometry

Lattice parameters (Å, degrees): 5.440 5.440 5.440 60.00 60.00 60.00
Fractional positions:
Tb (0.250, 0.250, 0.250)
Mo (0.625, 0.625, 0.125)
Mo (0.625, 0.125, 0.625)
Mo (0.625, 0.625, 0.625)
Mo (0.125, 0.625, 0.625)
Hf (0.000, 0.000, 0.000)

Record 4
Compound: HfTcMo
Source: the Alexandria database
Functional: GGA-PBE
Structure: optimized geometry

Lattice parameters (Å, degrees): 4.536 13.838 3.221 90.00 90.00 90.00
Fractional positions:
Hf (0.000, 0.668, 0.500)
Hf (0.000, 0.332, 0.500)
Hf (0.500, 0.168, 0.500)
Hf (0.500, 0.832, 0.500)
Tc (0.000, 0.160, 0.000)
Tc (0.000, 0.840, 0.000)
Tc (0.500, 0.660, 0.000)
Tc (0.500, 0.340, 0.000)
Mo (0.000, 0.000, 0.500)
Mo (0.500, 0.500, 0.500)
Mo (0.500, 0.000, 0.000)
Mo (0.000, 0.500, 0.000)

Record 5
Compound: HfTcMo
Source: the Alexandria database
Functional: GGA-PBE
Structure: optimized geometry

Lattice parameters (Å, degrees): 3.241 14.122 4.430 90.00 90.00 90.00
Fractional positions:
Hf (0.000, 0.840, 0.500)
Hf (0.000, 0.160, 0.500)
Hf (0.500, 0.340, 0.500)
Hf (0.500, 0.660, 0.500)
Tc (0.000, 0.331, 0.000)
Tc (0.000, 0.669, 0.000)
Tc (0.500, 0.831, 0.000)
Tc (0.500, 0.169, 0.000)
Mo (0.000, 0.000, 0.000)
Mo (0.500, 0.500, 0.000)
Mo (0.500, 0.000, 0.500)
Mo (0.000, 0.500, 0.500)

Record 6
Compound: HfTcMo
Source: the Alexandria database
Functional: GGA-PBE
Structure: optimized geometry

Lattice parameters (Å, degrees): 3.193 3.193 5.474 106.96 106.96 90.00
Fractional positions:
Mo (0.293, 0.293, 0.587)
Hf (0.614, 0.614, 0.228)
Tc (0.942, 0.942, 0.885)

Record 7
Compound: HfTcMo
Source: the Alexandria database
Functional: GGA-PBE
Structure: optimized geometry

Lattice parameters (Å, degrees): 5.502 4.542 9.782 90.00 123.85 90.00
Fractional positions:
Hf (0.740, 0.000, 0.827)
Hf (0.260, 0.000, 0.173)
Hf (0.740, 0.500, 0.327)
Hf (0.260, 0.500, 0.673)
Tc (0.750, 0.000, 0.163)
Tc (0.250, 0.000, 0.837)
Tc (0.750, 0.500, 0.663)
Tc (0.250, 0.500, 0.337)
Mo (0.236, 0.000, 0.488)
Mo (0.764, 0.000, 0.512)
Mo (0.236, 0.500, 0.988)
Mo (0.764, 0.500, 0.012)

Record 8
Compound: HfTc4Mo
Source: the Alexandria database
Functional: GGA-PBE
Structure: optimized geometry

Lattice parameters (Å, degrees): 5.165 5.165 5.165 60.00 60.00 60.00
Fractional positions:
Mo (0.000, 0.000, 0.000)
Hf (0.250, 0.250, 0.250)
Tc (0.624, 0.624, 0.127)
Tc (0.624, 0.127, 0.624)
Tc (0.624, 0.624, 0.624)
Tc (0.127, 0.624, 0.624)

Record 9
Compound: HfTcMo
Source: the Alexandria database
Functional: GGA-PBE
Structure: optimized geometry

Lattice parameters (Å, degrees): 4.453 14.174 3.220 90.00 90.00 90.00
Fractional positions:
Hf (0.000, 0.912, 0.250)
Hf (0.000, 0.088, 0.750)
Hf (0.500, 0.412, 0.250)
Hf (0.500, 0.588, 0.750)
Tc (0.000, 0.586, 0.250)
Tc (0.000, 0.414, 0.750)
Tc (0.500, 0.086, 0.250)
Tc (0.500, 0.914, 0.750)
Mo (0.000, 0.256, 0.250)
Mo (0.000, 0.744, 0.750)
Mo (0.500, 0.756, 0.250)
Mo (0.500, 0.244, 0.750)

Record 10
Compound: HfTcMo3
Source: the Alexandria database
Functional: GGA-PBE
Structure: optimized geometry

Lattice parameters (Å, degrees): 4.683 4.683 4.683 90.00 90.00 90.00
Fractional positions:
Mo (0.000, 0.500, 0.000)
Mo (0.000, 0.000, 0.500)
Mo (0.500, 0.000, 0.000)
Hf (0.500, 0.500, 0.500)
Tc (0.000, 0.000, 0.000)

Record 11
Compound: HfTc2Mo2
Source: the Alexandria database
Functional: GGA-PBE
Structure: optimized geometry

Lattice parameters (Å, degrees): 3.172 4.479 11.512 90.00 98.00 90.00
Fractional positions:
Hf (0.852, 0.750, 0.706)
Hf (0.148, 0.250, 0.294)
Tc (0.650, 0.750, 0.298)
Tc (0.350, 0.250, 0.702)
Tc (0.453, 0.750, 0.906)
Tc (0.547, 0.250, 0.094)
Mo (0.047, 0.750, 0.095)
Mo (0.953, 0.250, 0.905)
Mo (0.247, 0.750, 0.494)
Mo (0.753, 0.250, 0.506)

Record 12
Compound: Hf4TcMo
Source: the Alexandria database
Functional: GGA-PBE
Structure: optimized geometry

Lattice parameters (Å, degrees): 3.340 3.340 10.449 90.00 90.00 90.00
Fractional positions:
Hf (0.500, 0.500, 0.852)
Hf (0.500, 0.500, 0.148)
Hf (0.000, 0.000, 0.649)
Hf (0.000, 0.000, 0.351)
Tc (0.000, 0.000, 0.000)
Mo (0.500, 0.500, 0.500)

Record 13
Compound: HfTc2Mo2
Source: the Alexandria database
Functional: GGA-PBE
Structure: optimized geometry

Lattice parameters (Å, degrees): 7.571 7.571 2.932 90.00 90.00 90.00
Fractional positions:
Mo (0.354, 0.854, 0.000)
Mo (0.854, 0.646, 0.000)
Mo (0.646, 0.146, 0.000)
Mo (0.146, 0.354, 0.000)
Hf (0.000, 0.000, 0.000)
Hf (0.500, 0.500, 0.000)
Tc (0.152, 0.652, 0.500)
Tc (0.652, 0.848, 0.500)
Tc (0.848, 0.348, 0.500)
Tc (0.348, 0.152, 0.500)

Record 14
Compound: Hf5Tc4Mo
Source: the Alexandria database
Functional: GGA-PBE
Structure: optimized geometry

Lattice parameters (Å, degrees): 3.272 3.272 16.387 90.00 90.00 90.00
Fractional positions:
Hf (0.500, 0.500, 0.104)
Hf (0.500, 0.500, 0.302)
Hf (0.500, 0.500, 0.500)
Hf (0.500, 0.500, 0.698)
Hf (0.500, 0.500, 0.896)
Tc (0.000, 0.000, 0.201)
Tc (0.000, 0.000, 0.401)
Tc (0.000, 0.000, 0.599)
Tc (0.000, 0.000, 0.799)
Mo (0.000, 0.000, 0.000)

Record 15
Compound: HfTcMo3
Source: the Alexandria database
Functional: GGA-PBE
Structure: optimized geometry

Lattice parameters (Å, degrees): 4.690 4.690 4.690 90.00 90.00 90.00
Fractional positions:
Mo (0.000, 0.500, 0.000)
Mo (0.000, 0.000, 0.500)
Mo (0.500, 0.000, 0.000)
Hf (0.000, 0.000, 0.000)
Tc (0.500, 0.500, 0.500)

Record 16
Compound: HfTcMo
Source: the Alexandria database
Functional: GGA-PBE
Structure: optimized geometry

Lattice parameters (Å, degrees): 6.437 7.875 7.875 70.27 65.88 65.88
Fractional positions:
Hf (0.257, 0.966, 0.466)
Hf (0.689, 0.034, 0.534)
Hf (0.690, 0.534, 0.034)
Hf (0.257, 0.466, 0.966)
Hf (0.824, 0.250, 0.750)
Hf (0.824, 0.750, 0.250)
Mo (0.499, 0.500, 0.500)
Mo (0.499, 0.000, 0.000)
Mo (0.257, 0.879, 0.879)
Mo (0.014, 0.121, 0.121)
Mo (0.014, 0.621, 0.621)
Mo (0.257, 0.379, 0.379)
Tc (0.257, 0.750, 0.250)
Tc (0.257, 0.250, 0.750)
Tc (0.590, 0.667, 0.666)
Tc (0.923, 0.333, 0.334)
Tc (0.923, 0.834, 0.833)
Tc (0.590, 0.166, 0.167)

Record 17
Compound: Hf4TcMo
Source: the Alexandria database
Functional: GGA-PBE
Structure: optimized geometry

Lattice parameters (Å, degrees): 4.532 4.533 6.437 89.97 89.98 90.00
Fractional positions:
Hf (0.501, 0.997, 0.250)
Hf (0.501, 0.998, 0.746)
Hf (0.001, 0.497, 0.746)
Hf (0.001, 0.497, 0.250)
Tc (0.001, 0.997, 0.498)
Mo (0.501, 0.497, 0.998)

Record 18
Compound: HfTcMo
Source: the Alexandria database
Functional: GGA-PBE
Structure: optimized geometry

Lattice parameters (Å, degrees): 5.406 5.290 7.373 90.00 90.00 90.00
Fractional positions:
Hf (0.000, 0.250, 0.123)
Hf (0.000, 0.750, 0.877)
Hf (0.500, 0.750, 0.623)
Hf (0.500, 0.250, 0.377)
Tc (0.250, 0.250, 0.750)
Tc (0.250, 0.750, 0.250)
Tc (0.750, 0.750, 0.250)
Tc (0.750, 0.250, 0.750)
Mo (0.000, 0.000, 0.500)
Mo (0.000, 0.500, 0.500)
Mo (0.500, 0.500, 0.000)
Mo (0.500, 0.000, 0.000)

Record 19
Compound: HfTcMo
Source: the Alexandria database
Functional: GGA-PBE
Structure: optimized geometry

Lattice parameters (Å, degrees): 6.398 3.208 10.412 90.00 107.86 90.00
Fractional positions:
Hf (0.754, 0.000, 0.003)
Hf (0.246, 0.000, 0.997)
Hf (0.754, 0.500, 0.503)
Hf (0.246, 0.500, 0.497)
Tc (0.912, 0.000, 0.327)
Tc (0.088, 0.000, 0.673)
Tc (0.912, 0.500, 0.827)
Tc (0.088, 0.500, 0.173)
Mo (0.588, 0.000, 0.678)
Mo (0.412, 0.000, 0.322)
Mo (0.588, 0.500, 0.178)
Mo (0.412, 0.500, 0.822)

Record 20
Compound: HfTcMo
Source: the Alexandria database
Functional: GGA-PBE
Structure: optimized geometry

Lattice parameters (Å, degrees): 2.946 4.457 4.457 120.00 90.00 90.00
Fractional positions:
Mo (0.350, 0.667, 0.333)
Hf (0.994, 0.000, 0.000)
Tc (0.655, 0.333, 0.667)

Record 21
Compound: HfTcMo
Source: the Alexandria database
Functional: GGA-PBE
Structure: optimized geometry

Lattice parameters (Å, degrees): 3.217 13.990 4.506 90.00 90.00 90.00
Fractional positions:
Hf (0.000, 0.918, 0.250)
Hf (0.000, 0.082, 0.750)
Hf (0.500, 0.418, 0.250)
Hf (0.500, 0.582, 0.750)
Tc (0.000, 0.590, 0.250)
Tc (0.000, 0.410, 0.750)
Tc (0.500, 0.090, 0.250)
Tc (0.500, 0.910, 0.750)
Mo (0.000, 0.244, 0.250)
Mo (0.000, 0.756, 0.750)
Mo (0.500, 0.744, 0.250)
Mo (0.500, 0.256, 0.750)

Record 22
Compound: HfTcMo
Source: the Alexandria database
Functional: GGA-PBE
Structure: optimized geometry

Lattice parameters (Å, degrees): 4.542 4.542 5.646 90.00 90.00 120.00
Fractional positions:
Hf (0.667, 0.333, 0.440)
Hf (0.333, 0.667, 0.772)
Tc (0.000, 0.000, 0.604)
Tc (0.667, 0.333, 0.949)
Mo (0.333, 0.667, 0.262)
Mo (0.000, 0.000, 0.106)

Record 23
Compound: Hf3Tc4Mo
Source: the Alexandria database
Functional: GGA-PBE
Structure: optimized geometry

Lattice parameters (Å, degrees): 3.216 3.216 12.996 90.00 90.00 90.00
Fractional positions:
Mo (0.500, 0.500, 0.000)
Hf (0.500, 0.500, 0.248)
Hf (0.500, 0.500, 0.500)
Hf (0.500, 0.500, 0.752)
Tc (0.000, 0.000, 0.884)
Tc (0.000, 0.000, 0.116)
Tc (0.000, 0.000, 0.372)
Tc (0.000, 0.000, 0.628)

Record 24
Compound: HfTcMo
Source: the Alexandria database
Functional: GGA-PBE
Structure: optimized geometry

Lattice parameters (Å, degrees): 2.934 5.223 7.037 76.40 81.38 77.89
Fractional positions:
Hf (0.092, 0.599, 0.167)
Hf (0.908, 0.401, 0.833)
Tc (0.572, 0.088, 0.183)
Tc (0.428, 0.912, 0.817)
Mo (0.734, 0.250, 0.500)
Mo (0.266, 0.750, 0.500)

Number 1: final energy -11.05 eV/atom, total magnetic moment 0.000 μB/cell, energy relative to the elements -297 meV per atom. Number 2: final energy -8.93 eV/atom, total magnetic moment 0.000 μB/cell, energy relative to the elements 1243 meV per atom. Number 3: final energy -9.65 eV/atom, total magnetic moment 0.000 μB/cell, energy relative to the elements 2 meV per atom. Number 4: final energy -10.67 eV/atom, total magnetic moment 0.000 μB/cell, energy relative to the elements -287 meV per atom. Number 5: final energy -10.57 eV/atom, total magnetic moment 0.000 μB/cell, energy relative to the elements -183 meV per atom. Number 6: final energy -10.66 eV/atom, total magnetic moment 0.000 μB/cell, energy relative to the elements -272 meV per atom. Number 7: final energy -10.61 eV/atom, total magnetic moment 0.000 μB/cell, energy relative to the elements -230 meV per atom. Number 8: final energy -10.42 eV/atom, total magnetic moment 0.000 μB/cell, energy relative to the elements -48 meV per atom. Number 9: final energy -10.57 eV/atom, total magnetic moment 0.000 μB/cell, energy relative to the elements -185 meV per atom. Number 10: final energy -9.33 eV/atom, total magnetic moment 0.001 μB/cell, energy relative to the elements 1237 meV per atom. Number 11: final energy -10.64 eV/atom, total magnetic moment 0.000 μB/cell, energy relative to the elements -170 meV per atom. Number 12: final energy -10.34 eV/atom, total magnetic moment 0.000 μB/cell, energy relative to the elements -173 meV per atom. Number 13: final energy -10.31 eV/atom, total magnetic moment 0.000 μB/cell, energy relative to the elements 163 meV per atom. Number 14: final energy -10.59 eV/atom, total magnetic moment 0.000 μB/cell, energy relative to the elements -384 meV per atom. Number 15: final energy -8.26 eV/atom, total magnetic moment 0.000 μB/cell, energy relative to the elements 2302 meV per atom. Number 16: final energy -10.45 eV/atom, total magnetic moment 0.000 μB/cell, energy relative to the elements -66 meV per atom. Number 17: final energy -10.01 eV/atom, total magnetic moment 0.000 μB/cell, energy relative to the elements 158 meV per atom. Number 18: final energy -10.65 eV/atom, total magnetic moment 0.000 μB/cell, energy relative to the elements -268 meV per atom. Number 19: final energy -10.64 eV/atom, total magnetic moment 0.000 μB/cell, energy relative to the elements -257 meV per atom. Number 20: final energy -10.50 eV/atom, total magnetic moment 0.000 μB/cell, energy relative to the elements -112 meV per atom. Number 21: final energy -10.73 eV/atom, total magnetic moment 0.000 μB/cell, energy relative to the elements -349 meV per atom. Number 22: final energy -10.65 eV/atom, total magnetic moment 0.000 μB/cell, energy relative to the elements -264 meV per atom. Number 23: final energy -10.66 eV/atom, total magnetic moment 0.000 μB/cell, energy relative to the elements -388 meV per atom. Number 24: final energy -10.50 eV/atom, total magnetic moment 0.000 μB/cell, energy relative to the elements -115 meV per atom.